A relaxed structure of Cs2BeBiPd, computed with PBE.

Calculated values
- Spin magnetization: 0.0 μB per cell
- Electronic total energy: -2.434 eV/atom
- Calculated formation energy: 0.4677 eV per atom
- Density of states at the Fermi level: 4.8 states/eV/f.u.

Cell lengths 6.8332, 6.8332, 5.2005 Å; angles 90.00, 90.00, 90.00 degrees
With the nearest neighbours (Å) after each atom.
Space group P4/mmm (No. 123)
One atom of each set of equivalent atoms:
Cs1 0.0000 0.5000 0.0000  2 Pd 3.42
Be1 0.0000 0.0000 0.5000  8 Cs 4.29
Bi1 0.5000 0.5000 0.5000  2 Pd 2.60
Pd1 0.5000 0.5000 0.0000  2 Bi 2.60

=====

A relaxed structure of ZnAs2Ru, computed with PBE.

Calculated values
- Spin magnetization: 0.0 μB per cell
- Electronic total energy: -4.851 eV/atom
- Calculated formation energy: 0.1109 eV per atom
- Density of states at the Fermi level: 3.5 states/eV/f.u.

Cell lengths 3.0550, 3.0550, 25.5134 Å; angles 90.00, 90.00, 120.00 degrees
With the nearest neighbours (Å) after each atom.
Space group R3m (No. 160, hexagonal axes)
One atom of each set of equivalent atoms:
Zn1 0.0000 0.0000 0.0000  3 Ru 2.69, 3 As 2.78
As1 0.0000 0.0000 0.2490  3 Zn 2.78, 6 As 3.05
As2 0.0000 0.0000 0.4787  3 Ru 2.44
Ru1 0.0000 0.0000 0.7461  3 As 2.44, 3 Zn 2.69

=====

A relaxed structure of Tm5GaRh4, computed with PBE.

Calculated values
- Spin magnetization: 0.0 μB per cell
- Electronic total energy: -6.372 eV/atom
- Calculated formation energy: -0.8933 eV per atom
- Density of states at the Fermi level: 5.6 states/eV/f.u.

Cell lengths 3.4122, 3.4122, 17.0515 Å; angles 90.00, 90.00, 90.00 degrees
With the nearest neighbours (Å) after each atom.
Space group P4/mmm (No. 123)
One atom of each set of equivalent atoms:
Tm1 0.0000 0.0000 0.0000  8 Rh 2.93
Tm2 0.0000 0.0000 0.1960  8 Rh 2.94-2.95
Tm3 0.0000 0.0000 0.3902  4 Rh 2.90, 4 Ga 3.05
Ga1 0.5000 0.5000 0.5000  8 Tm 3.05, 4 Ga 3.41
Rh1 0.5000 0.5000 0.0979  8 Tm 2.93-2.94
Rh2 0.5000 0.5000 0.2956  8 Tm 2.90-2.95

=====

A relaxed structure of Sc2MoIr, computed with PBE.

Calculated values
- Spin magnetization: 0.0 μB per cell
- Electronic total energy: -8.421 eV/atom
- Calculated formation energy: -0.3320 eV per atom
- Density of states at the Fermi level: 4.6 states/eV/f.u.

Cell lengths 3.1573, 3.1573, 7.0837 Å; angles 90.00, 90.00, 90.00 degrees
With the nearest neighbours (Å) after each atom.
Space group P4/mmm (No. 123)
One atom of each set of equivalent atoms:
Sc1 0.0000 0.0000 0.2326  4 Ir 2.77, 4 Mo 2.93
Mo1 0.5000 0.5000 0.5000  8 Sc 2.93, 4 Mo 3.16
Ir1 0.5000 0.5000 0.0000  8 Sc 2.77